VASP calculation (PBE-GGA) on crystalline TlBRh3 at its relaxed geometry.

The structure belongs to space group P6_3/mmc (No. 194); the cell edges are 3.4983, 3.4983 and 15.6086 Å and the angles 90.00°, 90.00° and 120.00°. Symmetry generates all atoms from Tl at (0.0000, 0.0000, 0.0000), B at (0.3333, 0.6667, 0.2500), Rh at (0.0000, 0.0000, 0.2500) and Rh at (0.3333, 0.6667, 0.1206).

For the raw total energy, the calculation gives -6.0351 eV/atom. The calculation puts the energy of formation at 89 kJ/mol of formula units. The calculation puts the total magnetic moment at 0.000 Bohr magnetons per cell.

***

VASP calculation (PBE-GGA) on crystalline Sr2SbRuO6 at its relaxed geometry.

The structure belongs to space group P2_1/c (No. 14); the cell edges are 5.7052, 5.7312 and 9.8669 Å and the angles 90.00°, 125.16° and 90.00°. Symmetry generates all atoms from Sr at (0.2429, 0.0339, 0.2497), Sb at (0.5000, 0.0000, 0.0000), Ru at (0.0000, 0.0000, 0.5000), O at (0.1776, 0.2087, 0.9630), O at (0.2517, 0.7162, 0.9612) and O at (0.3254, 0.0160, 0.7526).

For the raw total energy, the calculation gives -6.5411 eV/atom. The energy relative to the elements, uncorrected comes out at -1.890 eV per atom. The calculation puts the total magnetic moment at 2.036 Bohr magnetons per cell.

***

VASP calculation (PBE-GGA) on crystalline Ca2Cd3Sn at its relaxed geometry.

The structure belongs to space group Fmmm (No. 69); the cell edges are 7.4024, 9.9740 and 17.2353 Å and the angles 90.00°, 90.00° and 90.00°. Symmetry generates all atoms from Ca at (0.2485, 0.0000, 0.0000), Ca at (0.2500, 0.2500, 0.2500), Cd at (0.0000, 0.0000, 0.1653), Cd at (0.0000, 0.2481, 0.0824) and Sn at (0.0000, 0.0000, 0.3349).

For the raw total energy, the calculation gives -2.2074 eV/atom. The calculation puts the energy of formation at -241 kJ/mol of formula units. The calculation puts the total magnetic moment at 0.000 Bohr magnetons per cell.

***

VASP calculation (PBE-GGA) on crystalline ZnRuCl2 at its relaxed geometry.

The structure belongs to space group Immm (No. 71); the cell edges are 3.0404, 4.3494 and 13.8084 Å and the angles 90.00°, 90.00° and 90.00°. Symmetry generates all atoms from Zn at (0.0000, 0.0000, 0.0000), Ru at (0.0000, 0.0000, 0.5000) and Cl at (0.0000, 0.5000, 0.1369).

For the raw total energy, the calculation gives -3.7279 eV/atom. The energy relative to the elements, uncorrected comes out at -0.167 eV per atom. The calculation puts the total magnetic moment at 0.000 Bohr magnetons per cell. Its offset from the most stable computed form is 106.0 meV/atom.

***

VASP calculation (PBE-GGA) on crystalline CeHfB at its relaxed geometry.

The structure belongs to space group C2/m (No. 12); the cell edges are 9.7429, 3.3639 and 7.9372 Å and the angles 90.00°, 123.82° and 90.00°. Symmetry generates all atoms from Ce at (0.1743, 0.0000, 0.0844), Hf at (0.0915, 0.5000, 0.3851) and B at (0.0985, 0.0000, 0.6115).

For the raw total energy, the calculation gives -7.7466 eV/atom. The calculation puts the energy of formation at -65 kJ/mol of formula units. The calculation puts the total magnetic moment at 0.000 Bohr magnetons per cell.

***

VASP calculation (PBE-GGA) on crystalline Cu2RuI2 at its relaxed geometry.

The structure belongs to space group P4/mbm (No. 127); the cell edges are 7.3485, 7.3485 and 3.8590 Å and the angles 90.00°, 90.00° and 90.00°. Symmetry generates all atoms from Cu at (0.1223, 0.3777, 0.0000), Ru at (0.0000, 0.0000, 0.5000) and I at (0.1877, 0.6877, 0.5000).

For the raw total energy, the calculation gives -3.3281 eV/atom. The energy relative to the elements, uncorrected comes out at 0.786 eV per atom. The calculation puts the total magnetic moment at 1.952 Bohr magnetons per cell.